Density functional theory data (PBE) for crystalline Re2Ru at its relaxed geometry.

- magnetic moment (μB per formula unit) = 0.0
- energy relative to the elements (meV/atom) = 58
- energy (eV per atom) = -11.333

Lattice parameters (Å, degrees): 2.7406 2.7406 11.6909 90.00 90.00 90.00
Last column: nearest neighbours and their distance in Å.
Space group I4/mmm (No. 139)
Inequivalent atoms, fractional coordinates:
Re  0.0000  0.0000  0.1641 [4 per cell]  4 Ru 2.73, 8 Re 2.74-2.79
Ru  0.0000  0.0000  0.5000 [2 per cell]  8 Re 2.73, 4 Ru 2.74